This record from Alexandria via LeMat-Bulk describes an optimized crystal structure of SmTmTe6. The functional is PBE.

a = 4.347 Å, b = 4.349 Å, c = 13.595 Å
α = 90.00°, β = 99.20°, γ = 90.00°
Fractional positions:
Sm: 0.173 0.500 0.346
Tm: 0.828 0.000 0.655
Te: 0.578 0.500 0.156
Te: 0.420 0.000 0.840
Te: 0.294 0.500 0.588
Te: 0.710 0.000 0.419
Te: 0.920 0.500 0.840
Te: 0.078 0.000 0.156

Computed properties:
- magnetization (μB/f.u.) = 0.0
- calculated total energy (Ry/atom) = -0.3245
- N(E_F) (states/eV/cell) = 2.68

---

This record from Alexandria via LeMat-Bulk describes an optimized crystal structure of Sm2TmTe3. The functional is PBE.

a = 4.405 Å, b = 6.194 Å, c = 7.628 Å
α = 113.95°, β = 106.78°, γ = 90.00°
Fractional positions:
Sm: 0.825 0.825 0.151
Sm: 0.175 0.175 0.849
Tm: 0.500 0.500 0.500
Te: 0.843 0.343 0.185
Te: 0.157 0.657 0.815
Te: 0.500 0.000 0.500

Computed properties:
- magnetization (μB/f.u.) = 0.0
- calculated total energy (Ry/atom) = -0.3824
- N(E_F) (states/eV/cell) = 3.01

---

This record from Alexandria via LeMat-Bulk describes an optimized crystal structure of Sm3TmTe6. The functional is PBE.

a = 7.797 Å, b = 7.797 Å, c = 8.397 Å
α = 62.33°, β = 62.33°, γ = 60.00°
Fractional positions:
Sm: 0.344 0.344 0.969
Sm: 0.654 0.654 0.037
Sm: 0.155 0.155 0.534
Tm: 0.842 0.842 0.473
Te: 0.941 0.571 0.251
Te: 0.238 0.941 0.251
Te: 0.571 0.238 0.251
Te: 0.061 0.447 0.745
Te: 0.747 0.061 0.745
Te: 0.447 0.747 0.745

Computed properties:
- ΔE to the lowest computed polymorph (eV/atom) = 0.0078
- magnetization (μB/f.u.) = 0.0
- calculated total energy (Ry/atom) = -0.3757

---

This record from Alexandria via LeMat-Bulk describes an optimized crystal structure of Sm4Tm3Te8. The functional is PBE.

a = 8.715 Å, b = 8.727 Å, c = 8.727 Å
α = 89.96°, β = 120.00°, γ = 120.00°
Fractional positions:
Sm: 0.500 0.000 0.000
Sm: 0.000 0.500 0.000
Sm: 0.000 0.000 0.000
Sm: 0.000 0.000 0.500
Tm: 0.500 0.500 0.000
Tm: 0.500 0.000 0.500
Tm: 0.500 0.500 0.500
Te: 0.517 0.262 0.262
Te: 0.000 0.741 0.259
Te: 0.008 0.262 0.262
Te: 0.500 0.746 0.254
Te: 0.500 0.254 0.746
Te: 0.992 0.738 0.738
Te: 0.000 0.259 0.741
Te: 0.483 0.738 0.738

Computed properties:
- magnetization (μB/f.u.) = 0.0
- calculated total energy (Ry/atom) = -0.3812
- N(E_F) (states/eV/cell) = 6.77

---

Number 1: formation energy from raw total energies -0.910 eV per atom. Number 2: formation energy from raw total energies -1.314 eV per atom. Number 3: formation energy from raw total energies -1.364 eV per atom. Number 4: formation energy from raw total energies -1.358 eV per atom.